DFT (GGA-PBE) results for crystalline BePtSe at its relaxed geometry.

```
BePtSe
1.0
4.474 0.000 0.000
-2.237 3.875 0.000
0.000 0.000 5.345
Be Pt Se
2 2 2
Direct
0.000 0.000 0.000 Be
0.000 0.000 0.500 Be
0.333 0.667 0.250 Pt
0.667 0.333 0.750 Pt
0.333 0.667 0.750 Se
0.667 0.333 0.250 Se
```

Formation energy without anion corrections (meV/atom): 305.0
Space group: P6_3/mmc (194)


DFT (GGA-PBE) results for crystalline Pm2PrPb3 at its relaxed geometry.

```
Pm2PrPb3
1.0
4.819 -7.373 0.000
4.819 7.373 0.000
-2.614 0.000 5.347
Pm Pr Pb
4 2 6
Direct
0.084 0.916 0.750 Pm
0.251 0.749 0.250 Pm
0.749 0.251 0.750 Pm
0.916 0.084 0.250 Pm
0.418 0.582 0.750 Pr
0.582 0.418 0.250 Pr
0.000 0.500 0.500 Pb
0.162 0.331 0.001 Pb
0.331 0.162 0.501 Pb
0.500 0.000 0.000 Pb
0.669 0.838 0.499 Pb
0.838 0.669 0.999 Pb
```

Formation enthalpy at 0 K (kcal/mol of atoms): -11.312
Space group: C2/c (15)
Energy relative to the lowest polymorph listed for this composition (kJ/mol of formula units): 0.0


DFT (GGA-PBE) results for crystalline RbVBr4 at its relaxed geometry.

```
RbVBr4
1.0
2.590 -10.444 0.000
2.590 10.444 0.000
0.000 0.000 7.469
Rb V Br
2 2 8
Direct
0.097 0.903 0.750 Rb
0.903 0.097 0.250 Rb
0.403 0.597 0.750 V
0.597 0.403 0.250 V
0.079 0.921 0.250 Br
0.326 0.674 0.509 Br
0.326 0.674 0.991 Br
0.500 0.500 0.000 Br
0.500 0.500 0.500 Br
0.674 0.326 0.009 Br
0.674 0.326 0.491 Br
0.921 0.079 0.750 Br
```

Formation energy without anion corrections (meV/atom): -1082.6
Space group: Cmcm (63)
Energy relative to the lowest polymorph listed for this composition (kJ/mol of formula units): 33.4


DFT (GGA-PBE) results for crystalline PaMoS6 at its relaxed geometry.

```
PaMoS6
1.0
3.285 -5.045 0.000
3.285 5.045 0.000
-1.186 0.000 4.921
Pa Mo S
1 1 6
Direct
0.000 0.000 0.000 Pa
0.500 0.500 0.000 Mo
0.126 0.493 0.169 S
0.233 0.233 0.606 S
0.493 0.126 0.169 S
0.507 0.874 0.831 S
0.767 0.767 0.394 S
0.874 0.507 0.831 S
```

Formation energy without anion corrections (meV/atom): -695.9
Space group: C2/m (12)


DFT (GGA-PBE) results for crystalline Pa4GaSi at its relaxed geometry.

```
Pa4GaSi
1.0
6.941 0.000 0.000
0.000 6.941 0.000
0.000 0.000 5.699
Pa Ga Si
8 2 2
Direct
0.146 0.345 0.000 Pa
0.146 0.655 0.500 Pa
0.345 0.146 0.500 Pa
0.345 0.854 0.000 Pa
0.655 0.146 0.000 Pa
0.655 0.854 0.500 Pa
0.854 0.345 0.500 Pa
0.854 0.655 0.000 Pa
0.500 0.500 0.250 Ga
0.500 0.500 0.750 Ga
0.000 0.000 0.250 Si
0.000 0.000 0.750 Si
```

Formation energy without anion corrections (meV/atom): -258.5
Space group: P4/mcc (124)


DFT (GGA-PBE) results for crystalline ZnSb at its relaxed geometry.

```
ZnSb
1.0
4.539 0.000 0.000
-2.255 3.989 0.000
-0.070 -2.189 5.978
Zn Sb
2 2
Direct
0.221 0.071 0.187 Zn
0.779 0.929 0.813 Zn
0.094 0.547 0.734 Sb
0.906 0.453 0.266 Sb
```

Formation energy without anion corrections (meV/atom): -18.3
Space group: P-1 (2)


DFT (GGA-PBE) results for crystalline Pa2GeS at its relaxed geometry.

```
Pa2GeS
1.0
2.033 1.174 6.397
-2.033 1.174 6.397
0.000 -2.348 6.397
Pa Ge S
2 1 1
Direct
0.245 0.245 0.245 Pa
0.755 0.755 0.755 Pa
0.000 0.000 0.000 Ge
0.500 0.500 0.500 S
```

Formation energy without anion corrections (meV/atom): -1043.2
Space group: R-3m (166)
Energy relative to the lowest polymorph listed for this composition (kJ/mol of formula units): 0.0


DFT (GGA-PBE) results for crystalline CeH6RuAu at its relaxed geometry.

```
CeH6RuAu
1.0
4.798 0.000 0.000
-2.399 4.155 0.000
0.000 0.000 4.270
Ce H Ru Au
1 6 1 1
Direct
0.000 0.000 0.000 Ce
0.315 0.067 0.481 H
0.502 0.475 0.953 H
0.525 0.028 0.953 H
0.752 0.685 0.481 H
0.933 0.248 0.481 H
0.972 0.498 0.953 H
0.667 0.333 0.695 Ru
0.333 0.667 0.467 Au
```

Total DFT energy (no corrections) (eV for the cell shown): -40.5
Space group: P3 (143)


DFT (GGA-PBE) results for crystalline PrSmSnSe at its relaxed geometry.

```
PrSmSnSe
1.0
4.378 0.000 0.000
0.000 4.378 0.000
0.000 0.000 6.222
Pr Sm Sn Se
1 1 1 1
Direct
0.000 0.000 0.000 Pr
0.500 0.500 0.500 Sm
0.000 0.000 0.500 Sn
0.500 0.500 0.000 Se
```

Formation energy without anion corrections (meV/atom): -1301.1
Space group: P4/mmm (123)


DFT (GGA-PBE) results for crystalline Sr3TlPb at its relaxed geometry.

```
Sr3TlPb
1.0
6.395 0.000 0.000
0.000 6.395 0.000
0.000 0.000 6.395
Sr Tl Pb
3 1 1
Direct
0.000 0.000 0.500 Sr
0.000 0.500 0.000 Sr
0.500 0.000 0.000 Sr
0.500 0.500 0.500 Tl
0.000 0.000 0.000 Pb
```

Formation enthalpy at 0 K (kcal/mol of atoms): -2.216
Space group: Pm-3m (221)
Energy relative to the lowest polymorph listed for this composition (kJ/mol of formula units): 119.7


DFT (GGA-PBE) results for crystalline LiZnCr2 at its relaxed geometry.

```
LiZnCr2
1.0
2.985 0.000 0.000
0.000 2.985 0.000
0.000 0.000 6.188
Li Zn Cr
1 1 2
Direct
0.000 0.000 0.000 Li
0.500 0.500 0.249 Zn
0.000 0.000 0.524 Cr
0.500 0.500 0.705 Cr
```

Formation enthalpy at 0 K (kcal/mol of atoms): 4.651
Space group: P4mm (99)
Energy relative to the lowest polymorph listed for this composition (kJ/mol of formula units): 10.4


DFT (GGA-PBE) results for crystalline NaTl2PCl6 at its relaxed geometry.

```
NaTl2PCl6
1.0
0.000 5.154 5.154
5.154 0.000 5.154
5.154 5.154 0.000
Na Tl P Cl
1 2 1 6
Direct
0.000 0.000 0.000 Na
0.250 0.250 0.250 Tl
0.750 0.750 0.750 Tl
0.500 0.500 0.500 P
0.266 0.266 0.734 Cl
0.266 0.734 0.266 Cl
0.266 0.734 0.734 Cl
0.734 0.266 0.266 Cl
0.734 0.266 0.734 Cl
0.734 0.734 0.266 Cl
```

Formation energy without anion corrections (meV/atom): -933.3
Space group: Fm-3m (225)


DFT (GGA-PBE) results for crystalline Nd3Dy7Th at its relaxed geometry.

```
Nd3Dy7Th
1.0
7.075 0.000 0.000
-3.538 6.127 0.000
0.000 0.000 8.756
Nd Dy Th
3 7 1
Direct
0.004 0.502 0.000 Nd
0.498 0.502 0.000 Nd
0.498 0.996 0.000 Nd
0.169 0.338 0.658 Dy
0.169 0.831 0.658 Dy
0.335 0.167 0.335 Dy
0.662 0.831 0.658 Dy
0.667 0.333 0.659 Dy
0.833 0.167 0.335 Dy
0.833 0.665 0.335 Dy
0.333 0.667 0.335 Th
```

Formation enthalpy at 0 K (kcal/mol of atoms): 4.053
Space group: P3m1 (156)


DFT (GGA-PBE) results for crystalline SnMo3W at its relaxed geometry.

```
SnMo3W
1.0
4.785 0.000 0.000
0.000 4.785 0.000
0.000 0.000 4.785
Sn Mo W
1 3 1
Direct
0.000 0.000 0.000 Sn
0.000 0.500 0.500 Mo
0.500 0.000 0.500 Mo
0.500 0.500 0.000 Mo
0.500 0.500 0.500 W
```

Formation enthalpy at 0 K (kcal/mol of atoms): 37.044
Space group: Pm-3m (221)
Energy relative to the lowest polymorph listed for this composition (kJ/mol of formula units): 0.0


DFT (GGA-PBE) results for crystalline PuSnSb2 at its relaxed geometry.

```
PuSnSb2
1.0
4.841 0.000 0.000
0.000 4.841 0.000
0.000 0.000 4.443
Pu Sn Sb
1 1 2
Direct
0.000 0.000 0.000 Pu
0.500 0.500 0.000 Sn
0.000 0.500 0.500 Sb
0.500 0.000 0.500 Sb
```

Formation energy without anion corrections (meV/atom): -357.2
Space group: P4/mmm (123)
Energy relative to the lowest polymorph listed for this composition (kJ/mol of formula units): 0.0


DFT (GGA-PBE) results for crystalline NaCrB3 at its relaxed geometry.

```
NaCrB3
1.0
4.006 0.000 0.000
0.000 4.006 0.000
0.000 0.000 4.006
Na Cr B
1 1 3
Direct
0.000 0.000 0.000 Na
0.500 0.500 0.500 Cr
0.000 0.000 0.500 B
0.000 0.500 0.000 B
0.500 0.000 0.000 B
```

Formation enthalpy at 0 K (kcal/mol of atoms): 72.107
Space group: Pm-3m (221)
Energy relative to the lowest polymorph listed for this composition (kJ/mol of formula units): 1108.8


DFT (GGA-PBE) results for crystalline NaZnHg2 at its relaxed geometry.

```
NaZnHg2
1.0
3.445 0.000 0.000
0.000 3.445 0.000
0.000 0.000 7.727
Na Zn Hg
1 1 2
Direct
0.000 0.000 0.000 Na
0.000 0.000 0.500 Zn
0.500 0.500 0.272 Hg
0.500 0.500 0.728 Hg
```

Formation enthalpy at 0 K (kcal/mol of atoms): -2.000
Space group: P4/mmm (123)


DFT (GGA-PBE) results for crystalline Co2TcCl at its relaxed geometry.

```
Co2TcCl
1.0
1.402 0.809 7.807
-1.402 0.809 7.807
0.000 -1.619 7.807
Co Tc Cl
2 1 1
Direct
0.248 0.248 0.248 Co
0.752 0.752 0.752 Co
0.000 0.000 0.000 Tc
0.500 0.500 0.500 Cl
```

Formation energy without anion corrections (meV/atom): 357.3
Space group: R-3m (166)
Energy relative to the lowest polymorph listed for this composition (kJ/mol of formula units): 23.9


DFT (GGA-PBE) results for crystalline MgVCuS2 at its relaxed geometry.

```
MgVCuS2
1.0
4.533 0.000 0.000
0.000 4.533 0.000
0.000 0.000 4.607
Mg V Cu S
1 1 1 2
Direct
0.000 0.000 0.000 Mg
0.500 0.500 0.500 V
0.500 0.500 0.000 Cu
0.000 0.500 0.500 S
0.500 0.000 0.500 S
```

Formation energy without anion corrections (meV/atom): -35.4
Space group: P4/mmm (123)


DFT (GGA-PBE) results for crystalline GaReAu3 at its relaxed geometry.

```
GaReAu3
1.0
4.781 0.000 0.000
0.000 4.781 0.000
0.000 0.000 4.781
Ga Re Au
1 1 3
Direct
0.000 0.000 0.000 Ga
0.500 0.500 0.500 Re
0.000 0.000 0.500 Au
0.000 0.500 0.000 Au
0.500 0.000 0.000 Au
```

Formation enthalpy at 0 K (kcal/mol of atoms): 29.199
Space group: Pm-3m (221)
Energy relative to the lowest polymorph listed for this composition (kJ/mol of formula units): 86.9


These records have mass density values of 10.14; 9.20; 3.75; 5.29; 12.36; 5.74; 10.27; 8.66; 6.81; 4.28; 5.31; 4.10; 7.88; 8.95; 9.67; 2.78; 8.87; 7.85; 3.56; 12.87 g cm⁻³, in the order they appear.